# PBE-GGA Pr5PtSe4, relaxed
# SG	I4/mmm, No. 139
# volume	27.5	A^3/atom
# calculated total energy	-60.7	eV per cell
# M_tot	0.000	μB per atom
data_Pr5PtSe4
_chemical_formula_sum 'Pr5 Pt1 Se4'
_cell_length_a 4.261
_cell_length_b 4.261
_cell_length_c 15.438
_cell_angle_alpha 97.93
_cell_angle_beta 97.93
_cell_angle_gamma 90.00
_space_group_name_H-M_alt 'P 1'
_space_group_IT_number 1
_space_group_name_Hall 'P 1'
loop_
_atom_site_label
_atom_site_type_symbol
_atom_site_fract_x
_atom_site_fract_y
_atom_site_fract_z
Pt1 Pt 0.000 0.000 0.000
Se1 Se 0.398 0.398 0.797
Se2 Se 0.802 0.802 0.604
Se3 Se 0.602 0.602 0.203
Se4 Se 0.198 0.198 0.396
Pr1 Pr 0.901 0.901 0.803
Pr2 Pr 0.702 0.702 0.404
Pr3 Pr 0.099 0.099 0.197
Pr4 Pr 0.500 0.500 0.000
Pr5 Pr 0.298 0.298 0.596